DFT (PBE) results for a relaxed PaBF crystal.

Cell lengths 3.5461, 3.5461, 6.8499 Å; angles 90.00, 90.00, 90.00 degrees
Sites, in units of the cell vectors:
1 Pa 0.2500 0.2500 0.2312
2 Pa 0.7500 0.7500 0.7688
3 B 0.2500 0.2500 0.8722
4 B 0.7500 0.7500 0.1278
5 F 0.2500 0.7500 0.5000
6 F 0.7500 0.2500 0.5000

Computed properties:
V = 43.1 Å³/f.u.
final energy = -43.80 eV/cell
formation energy (no corrections) = -1.285 eV per atom



DFT (PBE) results for a relaxed B3PbF crystal.

Cell lengths 4.1319, 4.1319, 4.1319 Å; angles 90.00, 90.00, 90.00 degrees
Sites, in units of the cell vectors:
1 B 0.0000 0.0000 0.5000
2 B 0.0000 0.5000 0.0000
3 B 0.5000 0.0000 0.0000
4 Pb 0.5000 0.5000 0.5000
5 F 0.0000 0.0000 0.0000

Computed properties:
V = 70.5 Å³/f.u.
offset from the most stable computed form = 0.00 eV/f.u.
final energy = -16.75 eV/cell
formation energy (no corrections) = 1.772 eV per atom



Look up the formation energy (no corrections) of the first one. -1.285 eV per atom